# K2RbInPt

A geometry-optimized K2RbInPt structure (GGA-PBE, Alexandria).

a = 6.3491 Å, b = 6.3491 Å, c = 5.2782 Å
α = 90.00°, β = 90.00°, γ = 90.00°
Sites, in units of the cell vectors:
1 K 0.0000 0.5000 0.0000
2 K 0.5000 0.0000 0.0000
3 Rb 0.0000 0.0000 0.5000
4 In 0.5000 0.5000 0.5000
5 Pt 0.5000 0.5000 0.0000

Properties
DFT formation energy in meV per atom: -117
V in Å³ per cell: 212.8